Entry from the Alexandria database: a relaxed structure of Mg2FePt (GGA-PBE).

Cell lengths 9.371, 9.371, 9.371 Å; angles 17.77, 17.77, 17.77 degrees
Element x y z (fractional)
Mg (0.008, 0.008, 0.008)
Mg (0.242, 0.242, 0.242)
Fe (0.754, 0.754, 0.754)
Pt (0.496, 0.496, 0.496)

Calculated values
* V: 16.726 Å³ per atom
* total energy: -17.9 eV per cell
* E_form: -43.3 meV per atom
* spin magnetization: 2.796 μB per formula unit
* symmetry: R3m
* DOS(E_F): 1.8 states/eV/f.u.

Entry from the Alexandria database: a relaxed structure of KGaAgHg2 (GGA-PBE).

Cell lengths 5.414, 5.414, 5.151 Å; angles 90.00, 90.00, 90.00 degrees
Element x y z (fractional)
Ag (0.000, 0.000, 0.500)
Hg (0.500, 0.000, 0.000)
K (0.500, 0.500, 0.500)
Hg (0.000, 0.500, 0.000)
Ga (0.000, 0.000, 0.000)

Calculated values
* V: 30.199 Å³ per atom
* total energy: -7.9 eV per cell
* E_form: -61.8 meV per atom
* spin magnetization: 0.000 μB per formula unit
* symmetry: P4/mmm
* DOS(E_F): 1.7 states/eV/f.u.
* E above lowest polymorph: 0 meV/atom

Entry from the Alexandria database: a relaxed structure of ScHgOsW2 (GGA-PBE).

Cell lengths 4.904, 4.904, 4.928 Å; angles 90.00, 90.00, 90.00 degrees
Element x y z (fractional)
Os (0.000, 0.000, 0.500)
W (0.500, 0.000, 0.000)
Hg (0.000, 0.000, 0.000)
W (0.000, 0.500, 0.000)
Sc (0.500, 0.500, 0.500)

Calculated values
* V: 23.699 Å³ per atom
* total energy: -30.6 eV per cell
* E_form: 2626.6 meV per atom
* spin magnetization: 0.000 μB per formula unit
* symmetry: P4/mmm
* DOS(E_F): 10.7 states/eV/f.u.

Entry from the Alexandria database: a relaxed structure of Tm2ZrZn6 (GGA-PBE).

Cell lengths 3.336, 7.639, 7.639 Å; angles 120.00, 90.00, 90.00 degrees
Element x y z (fractional)
Zn (0.500, 0.671, 0.000)
Zn (0.500, 0.000, 0.329)
Tm (0.000, 0.667, 0.333)
Zn (0.500, 0.329, 0.329)
Zn (0.500, 0.671, 0.671)
Tm (0.000, 0.333, 0.667)
Zr (0.000, 0.000, 0.000)
Zn (0.500, 0.329, 0.000)
Zn (0.500, 0.000, 0.671)

Calculated values
* V: 18.729 Å³ per atom
* total energy: -28.2 eV per cell
* E_form: -342.8 meV per atom
* spin magnetization: 0.000 μB per formula unit
* symmetry: P6/mmm
* DOS(E_F): 4.7 states/eV/f.u.

Entry from the Alexandria database: a relaxed structure of Te3Rh (GGA-PBE).

Cell lengths 5.801, 5.801, 5.801 Å; angles 90.00, 90.00, 90.00 degrees
Element x y z (fractional)
Rh (0.500, 0.500, 0.500)
Rh (0.000, 0.000, 0.000)
Te (0.250, 0.500, 0.000)
Te (0.500, 0.000, 0.750)
Te (0.000, 0.250, 0.500)
Te (0.750, 0.500, 0.000)
Te (0.500, 0.000, 0.250)
Te (0.000, 0.750, 0.500)

Calculated values
* V: 24.396 Å³ per atom
* formation energy from raw total energies: 13.52 kcal/mol of atoms
* total energy: -28.9 eV per cell
* spin magnetization: 0.000 μB per formula unit
* symmetry: Pm-3n
* DOS(E_F): 4.0 states/eV/f.u.

Entry from the Alexandria database: a relaxed structure of CaSn3Bi (GGA-PBE).

Cell lengths 5.882, 5.882, 5.882 Å; angles 90.00, 90.00, 90.00 degrees
Element x y z (fractional)
Bi (0.000, 0.000, 0.000)
Ca (0.500, 0.500, 0.500)
Sn (0.500, 0.000, 0.000)
Sn (0.000, 0.000, 0.500)
Sn (0.000, 0.500, 0.000)

Calculated values
* V: 40.707 Å³ per atom
* total energy: -15.7 eV per cell
* E_form: 443.2 meV per atom
* spin magnetization: 0.000 μB per formula unit
* symmetry: Pm-3m
* DOS(E_F): 3.4 states/eV/f.u.
* E above lowest polymorph: 0 meV/atom

Entry from the Alexandria database: a relaxed structure of MnAg2Au (GGA-PBE).

Cell lengths 2.919, 2.919, 8.116 Å; angles 90.00, 90.00, 90.00 degrees
Element x y z (fractional)
Ag (0.000, 0.000, 0.512)
Au (0.500, 0.500, 0.250)
Ag (0.000, 0.000, 0.988)
Mn (0.500, 0.500, 0.750)

Calculated values
* V: 17.286 Å³ per atom
* total energy: -17.6 eV per cell
* E_form: 135.4 meV per atom
* spin magnetization: 4.040 μB per formula unit
* symmetry: P4/mmm
* DOS(E_F): 2.1 states/eV/f.u.

Repeat the first record exactly.
Entry from the Alexandria database: a relaxed structure of Mg2FePt (GGA-PBE).

Cell lengths 9.371, 9.371, 9.371 Å; angles 17.77, 17.77, 17.77 degrees
Element x y z (fractional)
Mg (0.008, 0.008, 0.008)
Mg (0.242, 0.242, 0.242)
Fe (0.754, 0.754, 0.754)
Pt (0.496, 0.496, 0.496)

Calculated values
* V: 16.726 Å³ per atom
* total energy: -17.9 eV per cell
* E_form: -43.3 meV per atom
* spin magnetization: 2.796 μB per formula unit
* symmetry: R3m
* DOS(E_F): 1.8 states/eV/f.u.